No. 1
Entry from the Alexandria database: crystalline Ho4ThRu5 at its relaxed geometry (PBE).

Output
The calculation puts the calculated formation energy at -3.9 eV/f.u. As for the symmetry: P4/mmm (123). Its volume is 20.0 A^3/atom.

Structure (extended XYZ):
```
10
Lattice="-2.0974 1.3040 2.3852 1.7225 -1.6931 2.4403 10.4142 13.3080 1.8822" Properties=species:S:1:pos:R:3 pbc="T T T"
Th 0.0000 0.0000 0.0000
Ho 2.1485 2.7455 0.3883
Ho 8.2657 10.5625 1.4939
Ho 4.1841 5.3467 0.7562
Ru 7.0899 9.1049 3.7280
Ru 9.2198 11.8267 4.1129
Ru 5.0197 6.4594 3.3538
Ru 0.8195 1.0921 2.5947
Ru 2.9494 3.8139 2.9797
Ho 6.2301 7.9612 1.1260
```

No. 2
Entry from the Alexandria database: crystalline HoAlZn5 at its relaxed geometry (PBE).

Output
The calculation puts the calculated formation energy at -1.6 eV/f.u. As for the symmetry: Pnma (62). Its volume is 16.8 A^3/atom.

Structure (extended XYZ):
```
28
Lattice="-4.2812 2.6438 -1.0668 -2.3552 -0.4643 8.3009 5.0977 9.0428 1.9522" Properties=species:S:1:pos:R:3 pbc="T T T"
Ho 3.1435 9.0274 3.5566
Zn -1.2758 8.3919 7.3166
Zn -1.4954 7.0552 4.8855
Zn -2.8252 3.6823 7.8274
Zn -2.3428 0.5730 4.6218
Al 1.2684 7.9926 8.5170
Ho -1.5926 5.8187 2.2114
Zn -2.8625 1.0229 7.8225
Al -2.9164 4.8926 5.2288
Zn -1.4416 2.5964 6.0197
Al 1.3776 6.3296 3.9575
Zn 1.1770 4.9600 1.3684
Zn -0.0971 8.6258 3.1665
Zn 3.3456 6.2683 1.8720
Al -2.8072 3.2296 0.6692
Zn 2.7423 7.0549 6.2423
Zn -0.2630 2.8304 1.8697
Zn 1.3238 10.1994 1.3637
Zn -4.2811 4.1673 2.9439
Zn 1.2864 7.5399 1.3588
Ho -4.6822 2.1948 5.6296
Zn 0.8040 10.6492 4.5644
Ho 0.0538 5.4035 6.9749
Zn -2.2219 2.8957 3.4570
Zn -0.0434 4.1670 4.3007
Zn -4.8844 4.9539 7.3143
Zn -2.7158 6.2623 7.8179
Zn 0.6831 8.3265 5.7292
```

No. 3
Entry from the Alexandria database: crystalline KHg2W at its relaxed geometry (PBE).

Output
The polymorph energy (0 for the lowest one) is 0.385 eV per atom. The calculation puts the calculated formation energy at 4.3 eV/f.u. As for the symmetry: Fm-3m (225). Its volume is 24.2 A^3/atom.

Structure (extended XYZ):
```
4
Lattice="0.0000 3.6436 3.6436 3.6436 0.0000 3.6436 3.6436 3.6436 0.0000" Properties=species:S:1:pos:R:3 pbc="T T T"
W 3.6436 3.6436 3.6436
Hg 5.4654 5.4654 5.4654
Hg 1.8218 1.8218 1.8218
K 0.0000 0.0000 0.0000
```

No. 4
Entry from the Alexandria database: crystalline TePIrPt at its relaxed geometry (PBE).

Output
The polymorph energy (0 for the lowest one) is 0.150 eV per atom. The value obtained for the formation energy without anion corrections is -0.15 eV/atom. As for the symmetry: Pmm2 (25). Its volume is 21.4 A^3/atom.

Structure (extended XYZ):
```
4
Lattice="3.9429 0.0000 0.0000 0.0000 3.9888 0.0000 0.0000 0.0000 5.4492" Properties=species:S:1:pos:R:3 pbc="T T T"
P 0.0000 1.9944 3.2110
Pt 0.0000 0.0000 4.4741
Ir 1.9714 1.9944 4.4975
Te 1.9714 0.0000 0.8771
```

No. 5
Entry from the Alexandria database: crystalline Tb2SmRu2 at its relaxed geometry (PBE).

Output
The polymorph energy (0 for the lowest one) is 0.061 eV per atom. The calculation puts the calculated formation energy at -0.9 eV/f.u. As for the symmetry: P2_1/m (11). Its volume is 24.9 A^3/atom.

Structure (extended XYZ):
```
10
Lattice="-3.6852 2.3748 -0.1932 -0.0195 -0.4738 -5.4524 -5.6118 -8.3294 4.6573" Properties=species:S:1:pos:R:3 pbc="T T T"
Tb -3.8768 -3.9174 0.8756
Ru -4.5852 -5.2415 -1.8876
Sm -2.1833 -1.6313 -3.3259
Tb -5.4397 -2.5110 -1.8638
Ru -4.7313 -1.1869 0.8994
Tb -5.9239 -7.1784 -0.1620
Ru -3.0309 1.0823 -3.6410
Ru -6.2856 -7.5107 2.6528
Tb -3.3927 0.7500 -0.8263
Sm -7.1332 -4.7971 2.3377
```

No. 6
Entry from the Alexandria database: crystalline ErB6Ru6 at its relaxed geometry (PBE).

Output
The calculation puts the calculated formation energy at 1.8 eV/f.u. As for the symmetry: Immm (71). Its volume is 10.9 A^3/atom.

Structure (extended XYZ):
```
13
Lattice="4.7234 0.0000 0.0000 2.3617 5.4769 0.1014 2.3617 0.2325 5.4729" Properties=species:S:1:pos:R:3 pbc="T T T"
B 1.1809 0.1162 2.7364
B 4.7234 4.2446 1.3635
Ru 4.7234 3.7600 3.6710
Ru 4.7234 1.9494 1.9032
B 3.5426 2.7384 0.0507
Ru 2.3617 1.0585 1.0334
Ru 2.3617 1.9715 3.6917
B 4.7234 1.4647 4.2108
B 1.1809 2.7384 0.0507
B 3.5426 0.1162 2.7364
Er 0.0000 0.0000 0.0000
Ru 7.0851 4.6509 4.5408
Ru 2.3617 3.7378 1.8826
```

No. 7
Entry from the Alexandria database: crystalline Pm2SmEr at its relaxed geometry (PBE).

Output
The polymorph energy (0 for the lowest one) is 0.002 eV per atom. The calculation puts the calculated formation energy at 0.1 eV/f.u. As for the symmetry: R3m (160). Its volume is 33.3 A^3/atom.

Structure (extended XYZ):
```
4
Lattice="3.6239 0.0000 0.0000 1.8119 3.1384 0.0000 1.8119 1.0461 11.7077" Properties=species:S:1:pos:R:3 pbc="T T T"
Pm 1.8119 1.0461 2.8899
Pm 1.8119 1.0461 8.8205
Sm 3.6239 2.0922 5.8595
Er 5.4358 3.1384 11.6994
```

No. 8
Entry from the Alexandria database: crystalline Cs3Ac3GeO8 at its relaxed geometry (PBE).

Output
The value obtained for the formation energy without anion corrections is -2.22 eV/atom. As for the symmetry: R-3m (166). Its volume is 22.2 A^3/atom.

Structure (extended XYZ):
```
15
Lattice="7.3995 0.0001 0.0000 -3.6996 6.4107 -0.0228 -0.0001 -4.2493 7.0474" Properties=species:S:1:pos:R:3 pbc="T T T"
O 3.6997 0.0164 4.7375
O 0.0001 2.1451 2.2871
Ac -1.8498 1.0807 3.5123
O -0.0001 -0.3568 4.5945
Cs -1.8498 3.2053 -0.0114
Ge 0.0000 -2.1246 3.5237
O 2.1740 3.4093 4.5814
Cs 0.0000 0.0000 0.0000
Ac 3.6997 -2.1246 3.5237
O 5.8737 -1.2477 2.4431
O 1.5258 -1.2478 2.4432
O 3.6999 2.5183 2.4301
O -2.1739 3.4092 4.5815
Cs 1.8499 3.2054 -0.0114
Ac 1.8499 1.0808 3.5123
```

No. 9
Entry from the Alexandria database: crystalline CaHfPb2 at its relaxed geometry (PBE).

Output
The polymorph energy (0 for the lowest one) is 0.000 eV per atom. The calculation puts the calculated formation energy at -0.7 eV/f.u. As for the symmetry: P4/mmm (123). Its volume is 26.2 A^3/atom.

Structure (extended XYZ):
```
4
Lattice="-0.0944 -1.3073 3.1467 3.2631 -0.9414 -0.2932 2.5925 7.9348 3.3743" Properties=species:S:1:pos:R:3 pbc="T T T"
Pb 0.6103 1.8681 0.7944
Pb 1.9821 6.0668 2.5799
Hf 1.5843 -1.1244 1.4268
Ca 2.8806 2.8431 3.1139
```

No. 10
Entry from the Alexandria database: crystalline SiAg2Rh at its relaxed geometry (PBE).

Output
The value obtained for the formation energy without anion corrections is -0.16 eV/atom. As for the symmetry: Pm (6). Its volume is 16.3 A^3/atom.

Structure (extended XYZ):
```
4
Lattice="-1.5280 -1.4689 2.8475 2.4730 -1.3455 0.6329 3.0250 4.2983 3.8406" Properties=species:S:1:pos:R:3 pbc="T T T"
Si 3.7143 0.9172 4.6789
Ag 0.4747 0.1461 2.5427
Ag 5.0066 3.1337 4.3031
Rh 3.0214 1.7162 2.5066
```

No. 11
Entry from the Alexandria database: crystalline Gd2BSe at its relaxed geometry (PBE).

Output
The value obtained for the formation energy without anion corrections is -0.89 eV/atom. As for the symmetry: R-3m (166). Its volume is 22.5 A^3/atom.

Structure (extended XYZ):
```
4
Lattice="-1.8630 3.1938 -1.2055 -3.1778 -0.3232 -2.2184 -5.6059 0.7981 4.5051" Properties=species:S:1:pos:R:3 pbc="T T T"
B 0.0000 0.0000 0.0000
Gd -2.5503 0.9217 0.1100
Se -5.3234 1.8343 0.5406
Gd -8.0965 2.7470 0.9712
```

No. 12
Entry from the Alexandria database: crystalline TbAlZn5 at its relaxed geometry (PBE).

Output
The calculation puts the calculated formation energy at -1.6 eV/f.u. As for the symmetry: Pnma (62). Its volume is 16.9 A^3/atom.

Structure (extended XYZ):
```
28
Lattice="-2.2892 3.5421 -2.9473 -2.3139 -6.1816 -5.6318 -9.0662 -1.4425 5.3082" Properties=species:S:1:pos:R:3 pbc="T T T"
Zn -10.3671 -3.3819 -2.7488
Zn -5.1108 -0.3187 1.3410
Zn -10.0748 1.0531 2.3541
Zn -7.2140 -2.7162 -6.5583
Al -6.4147 -1.8209 -3.9427
Zn -6.4553 -1.3658 3.2874
Zn -8.3331 -1.5766 -2.1590
Tb -4.0352 -2.1351 -6.1684
Al -3.3645 1.5711 -2.2353
Al -10.3048 -5.6531 -1.0356
Zn -8.5585 -3.7633 -4.6119
Tb -9.6340 -1.9469 2.8975
Zn -3.9246 -1.1653 -2.9282
Zn -3.3022 -0.7001 -0.5221
Zn -5.3362 -2.5054 -1.1119
Zn -11.5616 -1.3344 0.6397
Tb -7.3738 -4.4941 -1.9192
Tb -6.2955 0.4120 -1.3517
Zn -6.1127 -4.4202 -5.1404
Zn -8.6434 -4.6207 1.0752
Zn -3.5945 -5.1351 -5.6250
Al -7.2545 -2.2611 0.6718
Zn -7.5565 0.3381 1.8695
Zn -5.0259 0.5387 -4.3461
Zn -9.7446 -2.9167 -0.3426
Zn -2.1077 -2.7476 -3.9106
Zn -4.4489 -3.7893 -3.3440
Zn -9.2203 -0.2927 0.0731
```

No. 13
Entry from the Alexandria database: crystalline ReAs2SeCl at its relaxed geometry (PBE).

Output
The polymorph energy (0 for the lowest one) is 1.353 eV per atom. The value obtained for the formation energy without anion corrections is 1.76 eV/atom. As for the symmetry: P4/mmm (123). Its volume is 22.1 A^3/atom.

Structure (extended XYZ):
```
5
Lattice="-0.1297 4.6372 0.8874 -4.4611 0.1703 -1.5420 -1.6244 -0.9252 4.5973" Properties=species:S:1:pos:R:3 pbc="T T T"
Re -3.1076 1.9411 1.9714
As -2.2305 0.0851 -0.7710
Se -0.8122 -0.4626 2.2986
As -0.0649 2.3186 0.4437
Cl 0.0000 0.0000 0.0000
```

No. 14
Entry from the Alexandria database: crystalline Sm2Fe2C3 at its relaxed geometry (PBE).

Output
The polymorph energy (0 for the lowest one) is 0.000 eV per atom. The calculation puts the calculated formation energy at -1.4 eV/f.u. As for the symmetry: C2/m (12). Its volume is 13.1 A^3/atom.

Structure (extended XYZ):
```
7
Lattice="-1.7989 2.7138 -1.1821 -2.4422 -3.5968 -4.5408 -0.9368 -0.3740 5.6420" Properties=species:S:1:pos:R:3 pbc="T T T"
C -2.8989 0.6271 0.7762
Fe -1.5255 -0.7557 0.5865
C -2.2791 -1.8841 -0.8572
Sm -3.1110 -1.4028 -3.5611
Sm -2.0670 0.1458 3.4801
C 0.0000 0.0000 0.0000
Fe -3.6525 -0.5013 -0.6675
```

No. 15
Entry from the Alexandria database: crystalline CaTe2As at its relaxed geometry (PBE).

Output
The value obtained for the formation energy without anion corrections is -0.47 eV/atom. As for the symmetry: P4/mmm (123). Its volume is 26.6 A^3/atom.

Structure (extended XYZ):
```
4
Lattice="-0.8362 1.8119 4.8466 -5.0744 -1.2431 -0.4108 0.7458 -3.5220 1.4454" Properties=species:S:1:pos:R:3 pbc="T T T"
Ca -2.1643 -2.3826 0.5173
Te 0.0000 0.0000 0.0000
As -0.0452 -0.8551 3.1460
Te -2.9553 0.2844 2.2179
```

No. 16
Entry from the Alexandria database: crystalline Ag5Os4 at its relaxed geometry (PBE).

Output
The calculation puts the calculated formation energy at 5.6 eV/f.u. As for the symmetry: I4/mmm (139). Its volume is 16.3 A^3/atom.

Structure (extended XYZ):
```
9
Lattice="0.6036 -1.9025 6.1570 -3.4200 3.5973 -4.1540 -2.2927 -5.6665 -2.1278" Properties=species:S:1:pos:R:3 pbc="T T T"
Os -1.0897 -4.8831 2.5994
Ag -2.6560 -0.7774 0.6217
Ag -2.4531 -3.1943 -0.7466
Os -0.5994 -2.6859 1.4298
Os -3.6855 -1.3349 -4.0527
Os -2.0271 -0.7343 -2.2291
Ag 0.0000 0.0000 0.0000
Ag -2.0865 1.7745 -0.7367
Ag -0.7299 -0.0798 2.7397
```

No. 17
Entry from the Alexandria database: crystalline Sr2GaB at its relaxed geometry (PBE).

Output
The polymorph energy (0 for the lowest one) is 0.240 eV per atom. The calculation puts the calculated formation energy at 2.4 eV/f.u. As for the symmetry: I-42d (122). Its volume is 30.3 A^3/atom.

Structure (extended XYZ):
```
8
Lattice="8.1687 0.0000 0.0000 0.0000 8.1687 0.0000 4.0843 4.0843 3.6379" Properties=species:S:1:pos:R:3 pbc="T T T"
Sr 6.1265 6.5396 2.7285
Sr 2.4552 6.1265 0.9095
Sr 10.2108 9.7978 2.7285
Ga 8.1687 4.0843 1.8190
B 4.0843 8.1687 1.8190
Ga 0.0000 0.0000 0.0000
Sr 5.7134 2.0422 0.9095
B 4.0843 4.0843 0.0000
```

No. 18
Entry from the Alexandria database: crystalline AcTlO2 at its relaxed geometry (PBE).

Output
The polymorph energy (0 for the lowest one) is 0.063 eV per atom. The value obtained for the formation energy without anion corrections is -2.12 eV/atom. As for the symmetry: R-3m (166). Its volume is 24.5 A^3/atom.

Structure (extended XYZ):
```
4
Lattice="-1.2173 -3.7101 -0.3801 2.4466 -2.9594 0.8047 -1.8564 -2.1958 7.1320" Properties=species:S:1:pos:R:3 pbc="T T T"
O 0.4525 -6.6601 2.8210
O -1.0795 -2.2052 4.7356
Tl 0.0000 0.0000 0.0000
Ac -0.3135 -4.4327 3.7783
```

No. 19
Entry from the Alexandria database: crystalline RbCr2C at its relaxed geometry (PBE).

Output
The calculation puts the calculated formation energy at 3.4 eV/f.u. As for the symmetry: I4_1/amd (141). Its volume is 23.5 A^3/atom.

Structure (extended XYZ):
```
8
Lattice="6.4274 0.0000 0.0000 0.0000 6.4274 0.0000 3.2137 3.2137 4.5535" Properties=species:S:1:pos:R:3 pbc="T T T"
Rb 6.4274 3.2137 2.2767
Cr 3.2134 1.6068 1.1384
C 3.2137 6.4274 2.2767
Cr 4.8205 6.4277 3.4151
C 3.2137 3.2137 0.0000
Rb 0.0000 0.0000 0.0000
Cr 8.0342 6.4271 3.4151
Cr 3.2140 4.8205 1.1384
```

No. 20
Entry from the Alexandria database: crystalline Ho2Th2Sc15 at its relaxed geometry (PBE).

Output
The calculation puts the calculated formation energy at 5.0 eV/f.u. As for the symmetry: R-3m (166). Its volume is 27.2 A^3/atom.

Structure (extended XYZ):
```
19
Lattice="8.1035 0.0697 0.0621 1.1204 8.0260 0.0621 1.1204 0.9833 7.9658" Properties=species:S:1:pos:R:3 pbc="T T T"
Sc 6.1115 2.0171 5.1665
Sc 7.5513 3.2808 2.9234
Sc 6.1115 5.3640 1.4105
Sc 1.1204 3.1879 5.4916
Sc 3.3063 5.5354 0.0621
Sc 2.7930 5.7982 5.1665
Sc 0.5602 4.0130 0.0310
Sc 3.3063 0.6973 5.4916
Sc 1.1204 5.8214 2.5362
Ho 1.1324 0.9939 0.8856
Sc 4.0518 0.0348 0.0310
Sc 0.5602 0.4917 3.9829
Sc 4.2328 7.0619 2.9234
Sc 4.2328 3.7150 6.6794
Th 3.6079 3.1666 2.8216
Sc 5.9176 2.5603 0.0621
Th 6.7364 5.9124 5.2683
Sc 5.9176 0.3557 2.5362
Ho 9.2118 8.0851 7.2043
```

no.,calculated density (g/cm³)
1,11.574
2,7.342
3,10.713
4,10.577
5,8.946
6,9.843
7,7.578
8,6.373
9,10.046
10,8.851
11,7.451
12,7.197
13,6.756
14,8.147
15,5.769
16,14.688
17,3.499
18,7.856
19,3.557
20,4.721